# KPbW3 meta-GGA SCAN single point on PBEsol structure
data_KPbW3
_space_group_name_H-M_alt 'P m -3 m'
_space_group_IT_number 221
_space_group_name_Hall '-P 4 2 3'
_cell_length_a 5.097
_cell_length_b 5.097
_cell_length_c 5.097
_cell_angle_alpha 90.00
_cell_angle_beta 90.00
_cell_angle_gamma 90.00
loop_
_atom_site_label
_atom_site_type_symbol
_atom_site_fract_x
_atom_site_fract_y
_atom_site_fract_z
K1 K 0.000 0.000 0.000
Pb1 Pb 0.500 0.500 0.500
W1 W 0.000 0.500 0.500
# Fermi-level density of states in states/eV/cell: 6.2
# Formation energy in eV/f.u.: 16.75
# E above lowest polymorph in meV/atom: 0

# Li3MnVP2O8F2 meta-GGA SCAN single point on PBEsol structure
data_Li3MnVP2O8F2
_space_group_name_H-M_alt 'P 1'
_space_group_IT_number 1
_cell_length_a 5.194
_cell_length_b 5.298
_cell_length_c 7.289
_cell_angle_alpha 106.89
_cell_angle_beta 107.65
_cell_angle_gamma 97.08
loop_
_space_group_symop_operation_xyz
'x,y,z'
loop_
_atom_site_label
_atom_site_type_symbol
_atom_site_fract_x
_atom_site_fract_y
_atom_site_fract_z
Li1 Li 0.000 0.000 0.000
Li2 Li 0.246 0.431 0.353
Li3 Li 0.738 0.602 0.652
Mn1 Mn 0.501 0.023 0.007
V1 V 0.496 0.020 0.507
P1 P 0.158 0.382 0.747
P2 P 0.834 0.659 0.268
O1 O 0.134 0.782 0.430
O2 O 0.159 0.683 0.846
O3 O 0.224 0.236 0.902
O4 O 0.366 0.359 0.628
O5 O 0.624 0.681 0.384
O6 O 0.770 0.803 0.111
O7 O 0.835 0.358 0.169
O8 O 0.858 0.259 0.584
F1 F 0.339 0.099 0.248
F2 F 0.655 0.937 0.764
# Fermi-level density of states in states/eV/cell: 1.5
# Total energy in eV/cell: -166.0

# MgHg5 meta-GGA SCAN single point on PBEsol structure
data_MgHg5
_space_group_name_H-M_alt 'P -6 2 m'
_space_group_IT_number 189
_space_group_name_Hall 'P -6 -2'
_cell_length_a 5.5258
_cell_length_b 5.5258
_cell_length_c 5.0368
_cell_angle_alpha 90.00
_cell_angle_beta 90.00
_cell_angle_gamma 120.00
loop_
_atom_site_label
_atom_site_type_symbol
_atom_site_fract_x
_atom_site_fract_y
_atom_site_fract_z
Mg1 Mg 0.0000 0.0000 0.0000
Hg1 Hg 0.0000 0.6774 0.5000
Hg2 Hg 0.3333 0.6667 0.0000
# Fermi-level density of states in states/eV/cell: 2.0
# Formation energy in eV/f.u.: -0.34

# K2ScBr meta-GGA SCAN single point on PBEsol structure
data_K2ScBr
_space_group_name_H-M_alt 'I m m 2'
_space_group_IT_number 44
_cell_length_a 3.575
_cell_length_b 6.510
_cell_length_c 12.973
_cell_angle_alpha 90.00
_cell_angle_beta 90.00
_cell_angle_gamma 90.00
loop_
_space_group_symop_operation_xyz
'x,y,z'
'-x,-y,z'
'-x,y,z'
'x,-y,z'
'x+1/2,y+1/2,z+1/2'
'-x+1/2,-y+1/2,z+1/2'
'-x+1/2,y+1/2,z+1/2'
'x+1/2,-y+1/2,z+1/2'
loop_
_atom_site_label
_atom_site_type_symbol
_atom_site_fract_x
_atom_site_fract_y
_atom_site_fract_z
K1 K 0.000 0.000 0.000
K2 K 0.000 0.500 0.185
Sc1 Sc 0.000 0.500 0.799
Br1 Br 0.000 0.000 0.462
# Fermi-level density of states in states/eV/cell: 6.5
# E above lowest polymorph in meV/atom: 0

# FeRe2Au meta-GGA SCAN single point on PBEsol structure
data_FeRe2Au
_space_group_name_H-M_alt 'C m m m'
_space_group_IT_number 65
_space_group_name_Hall '-C 2 2'
_cell_length_a 5.312
_cell_length_b 7.964
_cell_length_c 2.688
_cell_angle_alpha 90.00
_cell_angle_beta 90.00
_cell_angle_gamma 90.00
loop_
_atom_site_label
_atom_site_type_symbol
_atom_site_fract_x
_atom_site_fract_y
_atom_site_fract_z
Fe1 Fe 0.000 0.000 0.000
Re1 Re 0.250 0.250 0.500
Au1 Au 0.000 0.500 0.000
# Fermi-level density of states in states/eV/cell: 4.1
# Formation energy in eV/f.u.: 1.53
# E above lowest polymorph in meV/atom: 152

# BaVSe2S meta-GGA SCAN single point on PBEsol structure
data_BaVSe2S
_space_group_name_H-M_alt 'A m m 2'
_space_group_IT_number 38
_cell_length_a 5.770
_cell_length_b 6.781
_cell_length_c 11.845
_cell_angle_alpha 90.00
_cell_angle_beta 90.00
_cell_angle_gamma 90.00
loop_
_space_group_symop_operation_xyz
'x,y,z'
'-x,-y,z'
'-x,y,z'
'x,-y,z'
'x,y+1/2,z+1/2'
'-x,-y+1/2,z+1/2'
'-x,y+1/2,z+1/2'
'x,-y+1/2,z+1/2'
loop_
_atom_site_label
_atom_site_type_symbol
_atom_site_fract_x
_atom_site_fract_y
_atom_site_fract_z
Ba1 Ba 0.000 0.000 0.000
Ba2 Ba 0.500 0.000 0.332
V1 V 0.245 0.000 0.671
Se1 Se 0.000 0.000 0.493
Se2 Se 0.500 0.000 0.839
Se3 Se 0.500 0.245 0.084
S1 S 0.000 0.243 0.743
# Fermi-level density of states in states/eV/cell: 10.4
# Total energy in eV/cell: -456.3

# BaInRu2 meta-GGA SCAN single point on PBEsol structure
data_BaInRu2
_space_group_name_H-M_alt 'P 4/m m m'
_space_group_IT_number 123
_space_group_name_Hall '-P 4 2'
_cell_length_a 4.769
_cell_length_b 4.769
_cell_length_c 3.435
_cell_angle_alpha 90.00
_cell_angle_beta 90.00
_cell_angle_gamma 90.00
loop_
_atom_site_label
_atom_site_type_symbol
_atom_site_fract_x
_atom_site_fract_y
_atom_site_fract_z
Ba1 Ba 0.000 0.000 0.000
In1 In 0.500 0.500 0.000
Ru1 Ru 0.000 0.500 0.500
# Fermi-level density of states in states/eV/cell: 4.2
# Formation energy in eV/f.u.: 3.24

# AgCO3 meta-GGA SCAN single point on PBEsol structure
data_AgCO3
_space_group_name_H-M_alt 'R -3 c'
_space_group_IT_number 167
_space_group_name_Hall '-R 3 2"c'
_cell_length_a 4.9413
_cell_length_b 4.9413
_cell_length_c 15.8987
_cell_angle_alpha 90.00
_cell_angle_beta 90.00
_cell_angle_gamma 120.00
loop_
_atom_site_label
_atom_site_type_symbol
_atom_site_fract_x
_atom_site_fract_y
_atom_site_fract_z
Ag1 Ag 0.0000 0.0000 0.0000
C1 C 0.0000 0.0000 0.2500
O1 O 0.0000 0.2613 0.2500
# Fermi-level density of states in states/eV/cell: 15.0
# Total energy in eV/cell: -388.2